(1)
First-principles (PBE-GGA) data for a relaxed structure of CoAu2Cl6, as listed in Alexandria.

Cell: 8.917 8.917 6.160 Å, 92.33 92.33 75.37°
Positions (direct):
Co 0.077 0.923 0.750
Co 0.923 0.077 0.250
Au 0.319 0.465 0.745
Au 0.465 0.319 0.245
Au 0.535 0.681 0.755
Au 0.681 0.535 0.255
Cl 0.020 0.153 0.575
Cl 0.120 0.683 0.880
Cl 0.153 0.020 0.075
Cl 0.236 0.493 0.357
Cl 0.317 0.880 0.620
Cl 0.493 0.236 0.857
Cl 0.507 0.764 0.143
Cl 0.683 0.120 0.380
Cl 0.764 0.507 0.643
Cl 0.847 0.980 0.925
Cl 0.880 0.317 0.120
Cl 0.980 0.847 0.425

The space-group type is C2/c (15). The value obtained for the raw formation energy is -26.0 kJ per mole of atoms. The density of states at the Fermi level comes out at 4.92 states/eV/f.u. For the energy above the most stable polymorph in this dataset, the calculation gives 13.3 meV/atom. The value obtained for the calculated total energy is -54.3 eV/cell.

(2)
First-principles (PBE-GGA) data for a relaxed structure of CoAu2Cl, as listed in Alexandria.

Cell: 3.128 3.128 24.726 Å, 90.00 90.00 120.00°
Positions (direct):
Co 0.000 0.000 0.000
Co 0.333 0.667 0.667
Co 0.667 0.333 0.333
Au 0.000 0.000 0.256
Au 0.000 0.000 0.744
Au 0.333 0.667 0.411
Au 0.333 0.667 0.923
Au 0.667 0.333 0.077
Au 0.667 0.333 0.589
Cl 0.000 0.000 0.500
Cl 0.333 0.667 0.167
Cl 0.667 0.333 0.833

The space-group type is R-3m (166). The value obtained for the raw formation energy is 30.9 kJ per mole of atoms. The density of states at the Fermi level comes out at 4.59 states/eV/f.u. For the energy above the most stable polymorph in this dataset, the calculation gives 210.6 meV/atom. The value obtained for the calculated total energy is -42.7 eV/cell.

(3)
First-principles (PBE-GGA) data for a relaxed structure of CoAuCl2, as listed in Alexandria.

Cell: 3.185 3.185 29.647 Å, 90.00 90.00 120.00°
Positions (direct):
Co 0.000 0.000 0.000
Co 0.333 0.667 0.667
Co 0.667 0.333 0.333
Au 0.000 0.000 0.500
Au 0.333 0.667 0.167
Au 0.667 0.333 0.833
Cl 0.000 0.000 0.379
Cl 0.000 0.000 0.621
Cl 0.333 0.667 0.046
Cl 0.333 0.667 0.287
Cl 0.667 0.333 0.713
Cl 0.667 0.333 0.954

The space-group type is R-3m (166). The value obtained for the raw formation energy is -2.3 kJ per mole of atoms. The density of states at the Fermi level comes out at 3.74 states/eV/f.u. For the energy above the most stable polymorph in this dataset, the calculation gives 68.6 meV/atom. The value obtained for the calculated total energy is -42.5 eV/cell.

(4)
First-principles (PBE-GGA) data for a relaxed structure of CoAu2Cl, as listed in Alexandria.

Cell: 5.401 9.127 2.866 Å, 90.00 90.00 90.00°
Positions (direct):
Co 0.000 0.000 0.000
Co 0.500 0.500 0.000
Au 0.250 0.250 0.500
Au 0.250 0.750 0.500
Au 0.750 0.250 0.500
Au 0.750 0.750 0.500
Cl 0.000 0.500 0.000
Cl 0.500 0.000 0.000

The space-group type is Cmmm (65). The value obtained for the raw formation energy is 52.6 kJ per mole of atoms. The density of states at the Fermi level comes out at 3.83 states/eV/f.u. For the energy above the most stable polymorph in this dataset, the calculation gives 435.6 meV/atom. The value obtained for the calculated total energy is -26.7 eV/cell.

(5)
First-principles (PBE-GGA) data for a relaxed structure of CoAuCl2, as listed in Alexandria.

Cell: 3.059 4.832 12.179 Å, 90.00 90.00 90.00°
Positions (direct):
Co 0.000 0.000 0.000
Co 0.500 0.500 0.500
Au 0.000 0.000 0.500
Au 0.500 0.500 0.000
Cl 0.000 0.500 0.368
Cl 0.000 0.500 0.632
Cl 0.500 0.000 0.132
Cl 0.500 0.000 0.868

The space-group type is Immm (71). The value obtained for the raw formation energy is -3.1 kJ per mole of atoms. The density of states at the Fermi level comes out at 0.83 states/eV/f.u. For the energy above the most stable polymorph in this dataset, the calculation gives 60.0 meV/atom. The value obtained for the calculated total energy is -28.4 eV/cell.

(6)
First-principles (PBE-GGA) data for a relaxed structure of CoAuCl2, as listed in Alexandria.

Cell: 6.045 3.490 7.827 Å, 90.00 104.70 90.00°
Positions (direct):
Co 0.000 0.000 0.000
Co 0.500 0.500 0.000
Au 0.000 0.500 0.500
Au 0.500 0.000 0.500
Cl 0.108 0.500 0.823
Cl 0.392 0.000 0.177
Cl 0.608 0.000 0.823
Cl 0.892 0.500 0.177

The space-group type is C2/m (12). The value obtained for the raw formation energy is -6.2 kJ per mole of atoms. The density of states at the Fermi level comes out at 3.05 states/eV/f.u. For the energy above the most stable polymorph in this dataset, the calculation gives 28.1 meV/atom. The value obtained for the calculated total energy is -28.7 eV/cell.

(7)
First-principles (PBE-GGA) data for a relaxed structure of CoAu2Cl, as listed in Alexandria.

Cell: 6.529 6.529 6.529 Å, 90.00 90.00 90.00°
Positions (direct):
Co 0.000 0.000 0.000
Co 0.000 0.500 0.500
Co 0.500 0.000 0.500
Co 0.500 0.500 0.000
Au 0.250 0.250 0.250
Au 0.250 0.250 0.750
Au 0.250 0.750 0.250
Au 0.250 0.750 0.750
Au 0.750 0.250 0.250
Au 0.750 0.250 0.750
Au 0.750 0.750 0.250
Au 0.750 0.750 0.750
Cl 0.000 0.000 0.500
Cl 0.000 0.500 0.000
Cl 0.500 0.000 0.000
Cl 0.500 0.500 0.500

The space-group type is Fm-3m (225). The value obtained for the raw formation energy is 62.7 kJ per mole of atoms. The density of states at the Fermi level comes out at 1.91 states/eV/f.u. For the energy above the most stable polymorph in this dataset, the calculation gives 540.4 meV/atom. The value obtained for the calculated total energy is -51.6 eV/cell.

(8)
First-principles (PBE-GGA) data for a relaxed structure of CoAuCl4, as listed in Alexandria.

Cell: 9.095 9.095 5.850 Å, 90.15 90.15 135.92°
Positions (direct):
Co 0.049 0.951 0.750
Co 0.951 0.049 0.250
Au 0.356 0.644 0.250
Au 0.644 0.356 0.750
Cl 0.042 0.337 0.098
Cl 0.138 0.226 0.571
Cl 0.226 0.138 0.071
Cl 0.337 0.042 0.598
Cl 0.663 0.958 0.402
Cl 0.774 0.862 0.929
Cl 0.862 0.774 0.429
Cl 0.958 0.663 0.902

The space-group type is C2/c (15). The value obtained for the raw formation energy is -41.5 kJ per mole of atoms. For the energy above the most stable polymorph in this dataset, the calculation gives 0.0 meV/atom. The value obtained for the calculated total energy is -40.7 eV/cell.

(9)
First-principles (PBE-GGA) data for a relaxed structure of CoAu2Cl, as listed in Alexandria.

Cell: 5.317 11.542 3.081 Å, 90.00 125.13 90.00°
Positions (direct):
Co 0.000 0.000 0.000
Co 0.500 0.500 0.000
Au 0.250 0.250 0.500
Au 0.250 0.750 0.500
Au 0.750 0.250 0.500
Au 0.750 0.750 0.500
Cl 0.000 0.500 0.000
Cl 0.500 0.000 0.000

The space-group type is C2/m (12). The value obtained for the raw formation energy is 40.8 kJ per mole of atoms. The density of states at the Fermi level comes out at 4.73 states/eV/f.u. For the energy above the most stable polymorph in this dataset, the calculation gives 313.4 meV/atom. The value obtained for the calculated total energy is -27.6 eV/cell.

(10)
First-principles (PBE-GGA) data for a relaxed structure of CoAu2Cl, as listed in Alexandria.

Cell: 2.919 4.049 12.324 Å, 90.00 90.00 90.00°
Positions (direct):
Co 0.000 0.000 0.000
Co 0.500 0.500 0.500
Au 0.000 0.500 0.306
Au 0.000 0.500 0.694
Au 0.500 0.000 0.194
Au 0.500 0.000 0.806
Cl 0.000 0.000 0.500
Cl 0.500 0.500 0.000

The space-group type is Immm (71). The value obtained for the raw formation energy is 26.3 kJ per mole of atoms. The density of states at the Fermi level comes out at 3.93 states/eV/f.u. For the energy above the most stable polymorph in this dataset, the calculation gives 162.9 meV/atom. The value obtained for the calculated total energy is -28.8 eV/cell.

(11)
First-principles (PBE-GGA) data for a relaxed structure of CoAu2Cl, as listed in Alexandria.

Cell: 4.629 4.629 6.539 Å, 90.00 90.00 90.00°
Positions (direct):
Co 0.000 0.000 0.000
Co 0.500 0.500 0.500
Au 0.000 0.000 0.500
Au 0.000 0.500 0.250
Au 0.500 0.000 0.750
Au 0.500 0.500 0.000
Cl 0.000 0.500 0.750
Cl 0.500 0.000 0.250

The space-group type is I-4m2 (119). The value obtained for the raw formation energy is 53.7 kJ per mole of atoms. The density of states at the Fermi level comes out at 4.60 states/eV/f.u. For the energy above the most stable polymorph in this dataset, the calculation gives 446.6 meV/atom. The value obtained for the calculated total energy is -26.6 eV/cell.

(12)
First-principles (PBE-GGA) data for a relaxed structure of CoAuCl2, as listed in Alexandria.

Cell: 3.117 3.117 8.138 Å, 90.00 90.00 90.00°
Positions (direct):
Co 0.000 0.000 0.000
Au 0.500 0.500 0.211
Cl 0.000 0.000 0.423
Cl 0.500 0.500 0.840

The space-group type is P4mm (99). The value obtained for the raw formation energy is 11.5 kJ per mole of atoms. The density of states at the Fermi level comes out at 3.10 states/eV/f.u. For the energy above the most stable polymorph in this dataset, the calculation gives 211.3 meV/atom. The value obtained for the calculated total energy is -13.6 eV/cell.